# CaLaAu4

A relaxed structure of CaLaAu4 (PBE-GGA, the Alexandria database).

Cell lengths 5.987, 5.989, 4.755 Å; angles 66.53, 66.55, 87.90 degrees
Fractional positions:
La 0.539 0.459 0.998
Ca 0.963 0.036 0.498
Au 0.952 0.620 0.213
Au 0.127 0.450 0.710
Au 0.378 0.047 0.784
Au 0.549 0.872 0.286

Values from the calculation:
Its space group is C2.

# Ca3LaAu4

A relaxed structure of Ca3LaAu4 (PBE-GGA, the Alexandria database).

Cell lengths 6.359, 6.359, 6.359 Å; angles 109.47, 109.47, 109.47 degrees
Fractional positions:
Ca 0.500 0.000 0.500
Ca 0.000 0.500 0.500
La 0.000 0.000 0.000
Au 0.000 0.000 0.500
Au 0.000 0.500 0.000
Au 0.500 0.500 0.500
Ca 0.500 0.500 0.000
Au 0.500 0.000 0.000

Values from the calculation:
Its space group is Im-3m.

Number 1: DOS at the Fermi energy 0.56 states/eV per atom, formation enthalpy at 0 K -0.7619 eV per atom. Number 2: DOS at the Fermi energy 0.59 states/eV per atom, formation enthalpy at 0 K -0.7938 eV per atom.